Entry from Alexandria: a relaxed Ag4SnAu4 crystal (PBE-GGA).

Summary:
- ΔH_f (0 K) (eV/atom) = -0.05

Lattice parameters (Å, degrees): 3.947 6.812 6.812 85.19 73.16 73.16
Sites, in units of the cell vectors:
Au (0.331, 0.338, 0.000)
Au (0.331, 0.000, 0.338)
Ag (0.000, 0.663, 0.337)
Ag (0.000, 0.337, 0.663)
Sn (0.000, 0.000, 0.000)
Ag (0.663, 0.337, 0.337)
Au (0.669, 0.000, 0.662)
Ag (0.337, 0.663, 0.663)
Au (0.669, 0.662, 0.000)


Entry from Alexandria: a relaxed Tb2Ho2In3 crystal (PBE-GGA).

Summary:
- ΔH_f (0 K) (eV/atom) = -0.33

Lattice parameters (Å, degrees): 3.481 3.502 16.126 90.01 83.80 90.00
Each line ends with the local moment (μB).
Sites, in units of the cell vectors:
In (0.863, 0.000, 0.272)  0.00
In (0.137, 0.000, 0.728)  0.00
Tb (0.568, 0.500, 0.864)  -0.03
In (0.000, 0.000, 0.000)  0.00
Tb (0.432, 0.500, 0.136)  -0.03
Ho (0.298, 0.500, 0.403)  0.18
Ho (0.702, 0.500, 0.597)  0.18